Material: TaCoRu2
Method: DFT, PBE-GGA
State: relaxed

## Properties
total magnetic moment: 1.8 μB per formula unit
raw total energy: -9.308 eV/atom
symmetry: P2/m

Unit cell a=2.7129 b=4.3363 c=4.9399 alpha=90.00 beta=97.12 gamma=90.00
Sites, in units of the cell vectors:
Ta1 0.0000 0.0000 0.0000
Co1 0.5000 0.0000 0.5000
Ru1 0.2976 0.5000 0.7277
Ru2 0.7024 0.5000 0.2723